A relaxed BaSrCaHo crystal. Source: Alexandria, functional PBE.

```
data_BaSrCaHo
_chemical_formula_sum 'Ba4 Sr4 Ca4 Ho4'
_symmetry_space_group_name_H-M 'F -4 3 m'
_symmetry_Int_Tables_number 216
_symmetry_space_group_name_Hall 'F -4 2 3'
_cell_length_a 8.933
_cell_length_b 8.933
_cell_length_c 8.933
_cell_angle_alpha 90.00
_cell_angle_beta 90.00
_cell_angle_gamma 90.00
loop_
_atom_site_label
_atom_site_fract_x
_atom_site_fract_y
_atom_site_fract_z
Ba1 0.000 0.000 0.000
Sr1 0.250 0.250 0.750
Ca1 0.000 0.000 0.500
Ho1 0.250 0.250 0.250
```

Output
uncorrected energy	-2.351	eV per atom
crystal system	cubic

A relaxed SiAuO3 crystal. Source: Alexandria, functional PBE.

```
data_SiAuO3
_chemical_formula_sum 'Si1 Au1 O3'
_symmetry_space_group_name_H-M 'P m -3 m'
_symmetry_Int_Tables_number 221
_symmetry_space_group_name_Hall '-P 4 2 3'
_cell_length_a 4.013
_cell_length_b 4.013
_cell_length_c 4.013
_cell_angle_alpha 90.00
_cell_angle_beta 90.00
_cell_angle_gamma 90.00
loop_
_atom_site_label
_atom_site_fract_x
_atom_site_fract_y
_atom_site_fract_z
Si1 0.000 0.000 0.000
Au1 0.500 0.500 0.500
O1 0.000 0.500 0.500
```

Output
crystal system	cubic
raw formation energy	443.6	meV/atom

A relaxed Pu2AlGe3Pd4 crystal. Source: Alexandria, functional PBE.

```
data_Pu2AlGe3Pd4
_chemical_formula_sum 'Pu2 Al1 Ge3 Pd4'
_symmetry_space_group_name_H-M 'P -4 m 2'
_symmetry_Int_Tables_number 115
_cell_length_a 4.193
_cell_length_b 4.193
_cell_length_c 10.710
_cell_angle_alpha 90.00
_cell_angle_beta 90.00
_cell_angle_gamma 90.00
loop_
_symmetry_equiv_pos_as_xyz
'x,y,z'
'y,-x,-z'
'-x,-y,z'
'-y,x,-z'
'-x,y,z'
'-y,-x,-z'
'x,-y,z'
'y,x,-z'
loop_
_atom_site_label
_atom_site_fract_x
_atom_site_fract_y
_atom_site_fract_z
Pu1 0.000 0.500 0.248
Al1 0.000 0.000 0.500
Ge1 0.000 0.500 0.864
Ge2 0.500 0.500 0.500
Pd1 0.000 0.000 0.000
Pd2 0.000 0.500 0.633
Pd3 0.500 0.500 0.000
```

Output
uncorrected energy	-7.326	eV per atom
crystal system	tetragonal

What is the formula in the second record?
SiAuO3